First-principles (PBE) data for a relaxed structure of Tb4Al16Pd3, as listed in Alexandria via LeMat-Bulk.

Output
The formation energy is -13.06 eV/f.u. As for the total magnetization: 0.00 μB per atom. The total energy comes out at -4.65 eV per atom.

a = 6.193 Å, b = 6.193 Å, c = 11.201 Å
α = 90.00°, β = 90.00°, γ = 90.00°
Space group P4/mmm (No. 123)
One atom of each set of equivalent atoms:
Tb1 0.000 0.500 0.189 [4 per cell]
Al1 0.000 0.000 0.197 [2 per cell]
Al2 0.213 0.213 0.000 [4 per cell]
Al3 0.243 0.243 0.376 [8 per cell]
Al4 0.500 0.500 0.228 [2 per cell]
Pd1 0.000 0.500 0.500 [2 per cell]
Pd2 0.500 0.500 0.000 [1 per cell]

First-principles (PBE) data for a relaxed structure of Al5Se, as listed in Alexandria via LeMat-Bulk.

Output
As for the total magnetization: 0.00 μB per atom. For the formation energy without anion corrections, the calculation gives 0.25 eV per atom. The total energy comes out at -3.45 eV per atom. Its offset from the most stable computed form is 213 meV per atom.

a = 5.4842 Å, b = 5.4842 Å, c = 4.4976 Å
α = 90.00°, β = 90.00°, γ = 120.00°
Space group P6/mmm (No. 191)
One atom of each set of equivalent atoms:
Al1 0.0000 0.5000 0.0000 [3 per cell]
Al2 0.3333 0.6667 0.5000 [2 per cell]
Se1 0.0000 0.0000 0.5000 [1 per cell]

First-principles (PBE) data for a relaxed structure of ErTmCdOs, as listed in Alexandria via LeMat-Bulk.

Output
The formation energy is -1.02 eV/f.u. As for the total magnetization: 0.00 μB per atom. The total energy comes out at -5.55 eV per atom. Its offset from the most stable computed form is 103 meV per atom.

a = 7.013 Å, b = 7.013 Å, c = 7.013 Å
α = 90.00°, β = 90.00°, γ = 90.00°
Space group F-43m (No. 216)
One atom of each set of equivalent atoms:
Er1 0.000 0.000 0.000 [4 per cell]
Tm1 0.000 0.000 0.500 [4 per cell]
Cd1 0.250 0.250 0.750 [4 per cell]
Os1 0.250 0.250 0.250 [4 per cell]

First-principles (PBE) data for a relaxed structure of Tb2Pd3Rh, as listed in Alexandria via LeMat-Bulk.

Output
The formation energy is -4.31 eV/f.u. As for the total magnetization: 0.00 μB per atom. The total energy comes out at -6.08 eV per atom.

a = 6.033 Å, b = 13.128 Å, c = 6.045 Å
α = 90.00°, β = 90.00°, γ = 90.00°
Space group Ibam (No. 72)
One atom of each set of equivalent atoms:
Tb1 0.241 0.152 0.000 [8 per cell]
Pd1 0.000 0.500 0.250 [4 per cell]
Pd2 0.248 0.365 0.000 [8 per cell]
Rh1 0.000 0.000 0.250 [4 per cell]